# NdTlCrO4 | Alexandria | PBE with a Hubbard U | optimized geometry
# **DOS at the Fermi energy**: 0.000 states/eV/atom
# **Total DFT energy (no corrections)**: -96.75 eV for the cell shown
data_NdTlCrO4
_chemical_formula_sum 'Nd2 Tl2 Cr2 O8'
_cell_length_a 5.8062
_cell_length_b 5.7722
_cell_length_c 8.2918
_cell_angle_alpha 90.00
_cell_angle_beta 107.99
_cell_angle_gamma 90.00
_space_group_name_H-M_alt 'P 1'
_space_group_IT_number 1
loop_
_space_group_symop_operation_xyz
'x,y,z'
loop_
_atom_site_label
_atom_site_fract_x
_atom_site_fract_y
_atom_site_fract_z
Nd1 0.1996 0.2500 0.4650
Nd2 0.8004 0.7500 0.5350
Tl1 0.0325 0.7500 0.1344
Tl2 0.9675 0.2500 0.8656
Cr1 0.3698 0.7500 0.6882
Cr2 0.6302 0.2500 0.3118
O1 0.1607 0.5101 0.6801
O2 0.1607 0.9899 0.6801
O3 0.3193 0.2500 0.2045
O4 0.3674 0.7500 0.4678
O5 0.6326 0.2500 0.5322
O6 0.6807 0.7500 0.7955
O7 0.8393 0.0101 0.3199
O8 0.8393 0.4899 0.3199